AcLa2Mg5 | GGA-PBE | relaxed

Values from the calculation:
**Density of states at the Fermi level**: 7.434 states/eV per cell
**Total moment**: 0.000 μB/atom
**Formation energy**: -0.07 eV/atom
**E_tot**: -2.815 eV per atom

Cell and atoms, written as POSCAR:
```
AcLa2Mg5
1.0
5.465 0.000 0.000
0.000 5.465 0.000
-2.733 -2.733 8.092
Mg Ac La
5 1 2
Direct
0.621 0.121 0.243
0.500 0.500 0.000
0.379 0.879 0.757
0.879 0.379 0.757
0.121 0.621 0.243
0.000 0.000 0.000
0.738 0.738 0.475
0.262 0.262 0.525
```